(i)
The following is a GGA-PBE calculation of an optimized crystal structure of Cs3AgCl4, from the Alexandria database.

Summary:
Mass density (g cm⁻³): 3.598
DOS(E_F) (states/eV/f.u.): 0.0

abc: 9.6306 11.8762 10.4649
angles: 90.00 90.00 90.00
Last column: nearest neighbours and their distance in Å.
Fractional coordinates of all 32 atoms:
1 Cs 0.0276 0.0440 0.2042  6 Cl 3.42-3.68
2 Cs 0.0276 0.4560 0.2042  6 Cl 3.42-3.68
3 Cs 0.1130 0.7500 0.4310  7 Cl 3.37-3.77
4 Cs 0.3870 0.2500 0.9310  7 Cl 3.37-3.77
5 Cs 0.4724 0.5440 0.7042  6 Cl 3.42-3.68
6 Cs 0.4724 0.9560 0.7042  6 Cl 3.42-3.68
7 Cs 0.5276 0.0440 0.2958  6 Cl 3.42-3.68
8 Cs 0.5276 0.4560 0.2958  6 Cl 3.42-3.68
9 Cs 0.6130 0.7500 0.0690  7 Cl 3.37-3.77
10 Cs 0.8870 0.2500 0.5690  7 Cl 3.37-3.77
11 Cs 0.9724 0.5440 0.7958  6 Cl 3.42-3.68
12 Cs 0.9724 0.9560 0.7958  6 Cl 3.42-3.68
13 Ag 0.2148 0.7500 0.9989  4 Cl 2.57-2.72
14 Ag 0.2852 0.2500 0.4989  4 Cl 2.57-2.72
15 Ag 0.7148 0.7500 0.5011  4 Cl 2.57-2.72
16 Ag 0.7852 0.2500 0.0011  4 Cl 2.57-2.72
17 Cl 0.0275 0.2500 0.8869  1 Ag 2.62
18 Cl 0.1859 0.0504 0.5246  1 Ag 2.57
19 Cl 0.1859 0.4496 0.5246  1 Ag 2.57
20 Cl 0.2132 0.7500 0.7392  1 Ag 2.72
21 Cl 0.2868 0.2500 0.2392  1 Ag 2.72
22 Cl 0.3141 0.5504 0.0246  1 Ag 2.57
23 Cl 0.3141 0.9496 0.0246  1 Ag 2.57
24 Cl 0.4725 0.7500 0.3869  1 Ag 2.62
25 Cl 0.5275 0.2500 0.6131  1 Ag 2.62
26 Cl 0.6859 0.0504 0.9754  1 Ag 2.57
27 Cl 0.6859 0.4496 0.9754  1 Ag 2.57
28 Cl 0.7132 0.7500 0.7608  1 Ag 2.72
29 Cl 0.7868 0.2500 0.2608  1 Ag 2.72
30 Cl 0.8141 0.5504 0.4754  1 Ag 2.57
31 Cl 0.8141 0.9496 0.4754  1 Ag 2.57
32 Cl 0.9725 0.7500 0.1131  1 Ag 2.62

(ii)
The following is a GGA-PBE calculation of an optimized crystal structure of Cs3AgCl4, from the Alexandria database.

Summary:
Mass density (g cm⁻³): 3.715
DOS(E_F) (states/eV/f.u.): 0.0

abc: 8.3379 8.3379 8.3379
angles: 90.00 90.00 90.00
Last column: nearest neighbours and their distance in Å.
Fractional coordinates of all 16 atoms:
1 Cs 0.0000 0.0000 0.5000  4 Cl 3.41
2 Cs 0.0000 0.5000 0.0000  4 Cl 3.41
3 Cs 0.0000 0.5000 0.5000  4 Cl 3.41
4 Cs 0.5000 0.0000 0.0000  4 Cl 3.41
5 Cs 0.5000 0.0000 0.5000  4 Cl 3.41
6 Cs 0.5000 0.5000 0.0000  4 Cl 3.41
7 Ag 0.0000 0.0000 0.0000  4 Cl 2.67
8 Ag 0.5000 0.5000 0.5000  4 Cl 2.67
9 Cl 0.1851 0.1851 0.1851  1 Ag 2.67
10 Cl 0.1851 0.8149 0.8149  1 Ag 2.67
11 Cl 0.3149 0.3149 0.6851  1 Ag 2.67
12 Cl 0.3149 0.6851 0.3149  1 Ag 2.67
13 Cl 0.6851 0.3149 0.3149  1 Ag 2.67
14 Cl 0.6851 0.6851 0.6851  1 Ag 2.67
15 Cl 0.8149 0.1851 0.8149  1 Ag 2.67
16 Cl 0.8149 0.8149 0.1851  1 Ag 2.67

What is the stability order? It is (i), (ii), from most stable to least stable.